## ScNi2W (PBE-GGA)

Data for crystalline ScNi2W at its relaxed geometry.

Lattice parameters (Å, degrees): 2.789 4.277 4.886 90.00 99.35 90.00
Element x y z (fractional)
Sc: 0.000 0.000 0.000
Ni: 0.370 0.000 0.534
Ni: 0.441 0.500 0.865
W: 0.771 0.500 0.403

Values from the calculation:
Calculated formation energy   -0.12 eV per atom
Distance to the lowest polymorph of the same formula   0 kJ/mol of formula units